1.
The following is a DFT calculation (GGA-PBE) of a relaxed structure of SrGeF3.

Computed properties:
symmetry	Pm-3m
E above lowest polymorph	137	meV per atom
formation energy without anion corrections	-2.11	eV/atom

Cell and atoms, written as POSCAR:
```
SrGeF3
1.0
4.545 0.000 0.000
0.000 4.545 0.000
0.000 0.000 4.545
F Ge Sr
3 1 1
Cartesian
2.272 0.000 0.000
0.000 0.000 2.272
0.000 2.272 0.000
0.000 0.000 0.000
2.272 2.272 2.272
```

---

2.
The following is a DFT calculation (GGA-PBE) of a relaxed structure of La2Th3Si4.

Computed properties:
symmetry	P2_1/c
formation energy without anion corrections	-0.67	eV/atom

Cell and atoms, written as POSCAR:
```
La2Th3Si4
1.0
7.878 0.240 0.000
-2.350 7.539 0.000
0.000 0.000 7.954
La Th Si
4 6 8
Cartesian
4.205 1.692 2.533
1.323 6.087 5.421
0.266 1.573 1.444
5.262 6.207 6.510
4.087 5.895 2.543
1.441 1.885 5.411
5.380 2.005 6.520
0.149 5.775 1.434
2.764 3.890 0.000
-1.175 3.770 3.977
2.644 7.019 0.176
3.695 3.958 4.910
6.823 0.880 4.153
-0.244 3.838 7.020
5.772 3.941 0.934
2.885 0.760 7.778
1.833 3.821 3.043
-1.295 6.899 3.801
```

---

3.
The following is a DFT calculation (GGA-PBE) of a relaxed structure of Pr6SmDy4.

Computed properties:
symmetry	I-42m
energy of formation from the pure elements	0.298	eV per atom
E above lowest polymorph	14	meV per atom

Cell and atoms, written as POSCAR:
```
Pr6SmDy4
1.0
-0.706 2.356 -6.399
-5.263 -4.278 -0.995
-2.269 6.790 6.422
Dy Sm Pr
4 1 6
Cartesian
-2.256 1.010 -0.662
-2.558 6.641 0.338
-6.139 -0.240 -5.472
-5.523 2.325 3.854
-2.984 -0.961 -3.697
-3.983 2.388 -3.761
-4.525 3.383 0.337
-0.353 1.178 -3.199
-2.237 4.120 3.171
-5.730 -0.155 -1.690
-2.631 -2.139 -0.497
```